Entry 1:
TiIN2F, relaxed, DFT GGA-PBE; polymorph energy (0 for the lowest one) = 1469 meV/atom; D(E_F) = 8.9 states/eV/f.u.; ΔE_f (raw) = 1.273 eV/atom
1.0
4.1799 0.0000 0.0000
0.0000 4.1799 0.0000
0.0000 0.0000 4.3120
Ti I N F
1 1 2 1
Direct
0.0000 0.0000 0.0000
0.5000 0.5000 0.5000
0.0000 0.5000 0.5000
0.5000 0.0000 0.5000
0.5000 0.5000 0.0000

Entry 2:
ZrScF2, relaxed, DFT GGA-PBE; polymorph energy (0 for the lowest one) = 765 meV/atom; D(E_F) = 4.4 states/eV/f.u.; ΔE_f (raw) = -1.209 eV/atom
1.0
0.0000 3.0814 3.0814
3.0814 0.0000 3.0814
3.0814 3.0814 0.0000
Zr Sc F
1 1 2
Direct
0.0000 0.0000 0.0000
0.5000 0.5000 0.5000
0.2500 0.2500 0.2500
0.7500 0.7500 0.7500

Entry 3:
ScSnSeBr2, relaxed, DFT GGA-PBE; polymorph energy (0 for the lowest one) = 690 meV/atom; D(E_F) = 8.6 states/eV/f.u.; ΔE_f (raw) = -0.113 eV/atom
1.0
5.5576 0.0000 0.0000
0.0000 5.5576 0.0000
0.0000 0.0000 5.4917
Sc Sn Se Br
1 1 1 2
Direct
0.0000 0.0000 0.0000
0.5000 0.5000 0.5000
0.5000 0.5000 0.0000
0.0000 0.5000 0.5000
0.5000 0.0000 0.5000

Entry 4:
SnSb2O, relaxed, DFT GGA-PBE; polymorph energy (0 for the lowest one) = 0 meV/atom; D(E_F) = 0.6 states/eV/f.u.; ΔE_f (raw) = -0.195 eV/atom
1.0
-2.8325 2.8325 6.7330
2.8325 -2.8325 6.7330
2.8325 2.8325 -6.7330
Sn Sb O
2 4 2
Direct
0.0000 0.0000 0.0000
0.7500 0.2500 0.5000
0.2423 0.6250 0.1173
0.3750 0.4923 0.6173
0.5077 0.1250 0.8827
0.8750 0.7577 0.3827
0.2500 0.7500 0.5000
0.5000 0.5000 0.0000

Entry 5:
La2TlCuNi, relaxed, DFT GGA-PBE; D(E_F) = 2.9 states/eV/f.u.; ΔH_f (0 K) = -79 kJ/mol of formula units
1.0
5.3442 0.0000 0.0000
0.0000 5.3442 0.0000
0.0000 0.0000 4.6359
La Tl Cu Ni
2 1 1 1
Direct
0.0000 0.5000 0.0000
0.5000 0.0000 0.0000
0.0000 0.0000 0.5000
0.5000 0.5000 0.5000
0.5000 0.5000 0.0000

Entry 6:
ThIrRu2, relaxed, DFT GGA-PBE; D(E_F) = 3.6 states/eV/f.u.; ΔH_f (0 K) = -91 kJ/mol of formula units
1.0
4.1478 0.0000 0.0000
0.0000 4.1478 0.0000
0.0000 0.0000 4.1004
Th Ir Ru
1 1 2
Direct
0.0000 0.0000 0.0000
0.5000 0.5000 0.0000
0.0000 0.5000 0.5000
0.5000 0.0000 0.5000

- D(E_F) of number 3 (ScSnSeBr2)?
  8.6 states/eV/f.u.

- D(E_F) of number 5 (La2TlCuNi)?
  2.9 states/eV/f.u.

- The highest D(E_F) belongs to which entry?
  TiIN2F